a | AcSbPb: optimized geometry, PBE-GGA.

a = 5.532 Å, b = 5.532 Å, c = 5.532 Å
α = 60.00°, β = 60.00°, γ = 60.00°
Fractional coordinates of all 3 atoms:
Sb 0.500 0.500 0.500
Ac 0.250 0.250 0.250
Pb 0.000 0.000 0.000

Summary:
space group: F-43m, No. 216
N(E_F): 2.688 states/eV/cell
total moment: 0.0 μB/f.u.

=====

b | AcSbPb: optimized geometry, PBE-GGA.

a = 4.175 Å, b = 4.175 Å, c = 6.409 Å
α = 109.01°, β = 109.01°, γ = 90.00°
Fractional coordinates of all 3 atoms:
Pb 0.975 0.975 0.950
Ac 0.274 0.274 0.548
Sb 0.601 0.601 0.202

Summary:
space group: I4mm, No. 107
N(E_F): 1.948 states/eV/cell
total moment: 0.0 μB/f.u.

=====

Q: Which of them is the most stable? A: b.

=====

a | Ac3SbPb: optimized geometry, PBE-GGA.

a = 6.221 Å, b = 6.221 Å, c = 6.221 Å
α = 90.00°, β = 90.00°, γ = 90.00°
Fractional coordinates of all 5 atoms:
Ac 0.000 0.500 0.000
Sb 0.000 0.000 0.000
Pb 0.500 0.500 0.500
Ac 0.000 0.000 0.500
Ac 0.500 0.000 0.000

Summary:
space group: Pm-3m, No. 221
N(E_F): 3.730 states/eV/cell
total moment: 0.0 μB/f.u.

=====

b | Ac3SbPb: optimized geometry, PBE-GGA.

a = 4.784 Å, b = 7.998 Å, c = 10.666 Å
α = 85.17°, β = 90.00°, γ = 90.00°
Fractional coordinates of all 10 atoms:
Sb 0.750 0.694 0.853
Pb 0.250 0.763 0.403
Pb 0.750 0.237 0.597
Ac 0.250 0.506 0.676
Ac 0.250 0.958 0.681
Sb 0.250 0.306 0.147
Ac 0.750 0.494 0.324
Ac 0.750 0.042 0.319
Ac 0.250 0.761 0.068
Ac 0.750 0.239 0.932

Summary:
space group: P2_1/m, No. 11
N(E_F): 8.968 states/eV/cell
total moment: 0.4 μB/f.u.

=====

Q: Which of them is the most stable? A: b.

=====

a | AcScPb: optimized geometry, PBE-GGA.

a = 3.948 Å, b = 3.948 Å, c = 6.784 Å
α = 106.92°, β = 106.92°, γ = 90.00°
Fractional coordinates of all 3 atoms:
Sc 0.588 0.588 0.176
Ac 0.285 0.285 0.570
Pb 0.977 0.977 0.954

Summary:
space group: I4mm, No. 107
N(E_F): 4.069 states/eV/cell
total moment: 1.3 μB/f.u.

=====

b | AcScPb: optimized geometry, PBE-GGA.

a = 4.738 Å, b = 4.739 Å, c = 8.701 Å
α = 89.97°, β = 89.98°, γ = 89.99°
Fractional coordinates of all 6 atoms:
Ac 0.814 0.867 0.571
Pb 0.314 0.367 0.689
Sc 0.814 0.366 0.920
Pb 0.813 0.866 0.150
Sc 0.314 0.866 0.920
Ac 0.313 0.366 0.268

Summary:
space group: P4/nmm, No. 129
N(E_F): 6.592 states/eV/cell
total moment: 1.2 μB/f.u.

=====

c | AcScPb: optimized geometry, PBE-GGA.

a = 4.726 Å, b = 4.726 Å, c = 9.374 Å
α = 104.60°, β = 104.60°, γ = 90.00°
Fractional coordinates of all 6 atoms:
Sc 0.500 0.000 0.000
Pb 0.118 0.118 0.237
Ac 0.673 0.673 0.346
Sc 0.000 0.500 0.000
Pb 0.882 0.882 0.763
Ac 0.327 0.327 0.654

Summary:
space group: I4/mmm, No. 139
N(E_F): 5.620 states/eV/cell
total moment: 0.8 μB/f.u.

=====

Q: Which of them is the most stable? A: c.

=====

a | AcScPb: optimized geometry, PBE-GGA.

a = 4.541 Å, b = 5.036 Å, c = 5.036 Å
α = 120.00°, β = 90.00°, γ = 90.00°
Fractional coordinates of all 3 atoms:
Sc 0.833 0.000 0.000
Ac 0.333 0.333 0.667
Pb 0.833 0.667 0.333

Summary:
space group: P-6m2, No. 187
N(E_F): 0.834 states/eV/cell
total moment: 0.0 μB/f.u.

=====

b | AcScPb: optimized geometry, PBE-GGA.

a = 8.901 Å, b = 10.136 Å, c = 7.020 Å
α = 136.21°, β = 90.00°, γ = 90.00°
Fractional coordinates of all 12 atoms:
Sc 0.342 0.909 0.000
Sc 0.158 0.409 0.000
Pb 0.352 0.190 0.000
Sc 0.842 0.591 0.000
Ac 0.000 0.814 0.629
Pb 0.148 0.690 0.000
Pb 0.648 0.810 0.000
Sc 0.658 0.091 0.000
Ac 0.500 0.314 0.629
Pb 0.852 0.310 0.000
Ac 0.500 0.686 0.371
Ac 0.000 0.186 0.371

Summary:
space group: Cmce, No. 64
N(E_F): 8.476 states/eV/cell
total moment: 0.0 μB/f.u.

=====

Q: Which of them is the most stable? A: a.

=====

a | Ac3Sc2Pb3: optimized geometry, PBE-GGA.

a = 6.677 Å, b = 9.574 Å, c = 9.574 Å
α = 120.00°, β = 90.00°, γ = 90.00°
Fractional coordinates of all 16 atoms:
Pb 0.250 0.597 0.597
Ac 0.250 0.248 0.248
Pb 0.250 0.403 0.000
Ac 0.250 0.000 0.752
Sc 0.500 0.333 0.667
Ac 0.750 0.248 0.000
Pb 0.750 0.597 0.000
Pb 0.750 0.403 0.403
Ac 0.750 0.752 0.752
Pb 0.250 0.000 0.403
Ac 0.250 0.752 0.000
Ac 0.750 0.000 0.248
Sc 0.000 0.333 0.667
Sc 0.000 0.667 0.333
Sc 0.500 0.667 0.333
Pb 0.750 0.000 0.597

Summary:
space group: P6_3/mcm, No. 193
N(E_F): 19.631 states/eV/cell
total moment: 1.2 μB/f.u.

=====

b | Ac3Sc2Pb3: optimized geometry, PBE-GGA.

a = 4.539 Å, b = 5.047 Å, c = 12.196 Å
α = 101.94°, β = 100.72°, γ = 90.00°
Fractional coordinates of all 8 atoms:
Sc 0.247 0.747 0.493
Sc 0.753 0.253 0.507
Ac 0.375 0.375 0.750
Pb 0.000 0.500 0.000
Pb 0.836 0.836 0.673
Pb 0.164 0.164 0.327
Ac 0.500 0.000 0.000
Ac 0.625 0.625 0.250

Summary:
space group: Immm, No. 71
N(E_F): 10.559 states/eV/cell
total moment: 0.7 μB/f.u.

=====

Q: Which of them is the most stable? A: a.

=====

a | AcSc2Pb: optimized geometry, PBE-GGA.

a = 3.805 Å, b = 3.805 Å, c = 7.899 Å
α = 90.00°, β = 90.00°, γ = 90.00°
Fractional coordinates of all 4 atoms:
Sc 0.000 0.000 0.206
Pb 0.500 0.500 0.000
Ac 0.500 0.500 0.500
Sc 0.000 0.000 0.794

Summary:
space group: P4/mmm, No. 123
N(E_F): 5.410 states/eV/cell
total moment: 0.0 μB/f.u.

=====

b | AcSc2Pb: optimized geometry, PBE-GGA.

a = 5.369 Å, b = 5.369 Å, c = 5.369 Å
α = 60.00°, β = 60.00°, γ = 60.00°
Fractional coordinates of all 4 atoms:
Ac 0.000 0.000 0.000
Sc 0.250 0.250 0.250
Sc 0.750 0.750 0.750
Pb 0.500 0.500 0.500

Summary:
space group: Fm-3m, No. 225
N(E_F): 7.881 states/eV/cell
total moment: 0.0 μB/f.u.

=====

Q: Which of them is the most stable? A: a.

=====

a | Ac3PbSe: optimized geometry, PBE-GGA.

a = 5.895 Å, b = 5.895 Å, c = 5.895 Å
α = 90.00°, β = 90.00°, γ = 90.00°
Fractional coordinates of all 5 atoms:
Se 0.000 0.000 0.000
Ac 0.500 0.000 0.000
Ac 0.000 0.500 0.000
Ac 0.000 0.000 0.500
Pb 0.500 0.500 0.500

Summary:
space group: Pm-3m, No. 221
N(E_F): 5.225 states/eV/cell
total moment: 0.0 μB/f.u.

=====

b | Ac3PbSe: optimized geometry, PBE-GGA.

a = 7.243 Å, b = 10.294 Å, c = 12.070 Å
α = 119.15°, β = 90.00°, γ = 90.00°
Fractional coordinates of all 20 atoms:
Ac 0.598 0.780 0.830
Ac 0.405 0.338 0.536
Ac 0.902 0.280 0.330
Pb 0.311 0.498 0.854
Ac 0.595 0.662 0.464
Se 0.775 0.501 0.603
Ac 0.095 0.838 0.036
Se 0.275 0.999 0.897
Pb 0.689 0.502 0.146
Ac 0.679 0.917 0.320
Ac 0.821 0.417 0.820
Ac 0.321 0.083 0.680
Ac 0.402 0.220 0.170
Pb 0.189 0.998 0.354
Se 0.725 0.001 0.103
Ac 0.179 0.583 0.180
Ac 0.905 0.162 0.964
Pb 0.811 0.002 0.646
Se 0.225 0.499 0.397
Ac 0.098 0.720 0.670

Summary:
space group: P2_1/c, No. 14
N(E_F): 22.476 states/eV/cell
total moment: 0.5 μB/f.u.

=====

Q: Which of them is the most stable? A: b.

=====

a | Ac2PbSe: optimized geometry, PBE-GGA.

a = 6.639 Å, b = 6.639 Å, c = 13.272 Å
α = 89.99°, β = 90.00°, γ = 90.00°
Fractional coordinates of all 16 atoms:
Pb 0.250 0.000 0.375
Ac 0.250 0.000 0.120
Se 0.250 0.501 0.625
Ac 0.250 0.500 0.870
Ac 0.750 0.000 0.880
Pb 0.750 0.000 0.625
Ac 0.750 0.500 0.130
Ac 0.750 0.500 0.620
Ac 0.750 0.000 0.370
Ac 0.250 0.000 0.630
Se 0.250 0.999 0.875
Pb 0.750 0.500 0.875
Ac 0.250 0.500 0.380
Se 0.750 0.001 0.125
Pb 0.250 0.500 0.125
Se 0.750 0.499 0.375

Summary:
space group: I4_1/amd, No. 141
N(E_F): 4.696 states/eV/cell
total moment: 0.0 μB/f.u.

=====

b | Ac2PbSe: optimized geometry, PBE-GGA.

a = 3.844 Å, b = 3.844 Å, c = 8.621 Å
α = 90.00°, β = 90.00°, γ = 90.00°
Fractional coordinates of all 4 atoms:
Pb 0.500 0.500 0.500
Ac 0.000 0.000 0.771
Ac 0.000 0.000 0.229
Se 0.500 0.500 0.000

Summary:
space group: P4/mmm, No. 123
N(E_F): 2.602 states/eV/cell
total moment: 0.0 μB/f.u.

=====

c | Ac2PbSe: optimized geometry, PBE-GGA.

a = 4.732 Å, b = 4.732 Å, c = 8.030 Å
α = 72.86°, β = 72.86°, γ = 60.00°
Fractional coordinates of all 4 atoms:
Ac 0.748 0.748 0.757
Pb 0.500 0.500 0.500
Se 0.000 0.000 0.000
Ac 0.252 0.252 0.243

Summary:
space group: R-3m, No. 166
N(E_F): 1.987 states/eV/cell
total moment: 0.0 μB/f.u.

=====

Q: Which of them is the most stable? A: a.

=====

a | Ac2PbSe: optimized geometry, PBE-GGA.

a = 5.717 Å, b = 5.717 Å, c = 5.717 Å
α = 60.00°, β = 60.00°, γ = 60.00°
Fractional coordinates of all 4 atoms:
Pb 0.000 0.000 0.000
Se 0.500 0.500 0.500
Ac 0.250 0.250 0.250
Ac 0.750 0.750 0.750

Summary:
space group: Fm-3m, No. 225
N(E_F): 1.693 states/eV/cell
total moment: 0.0 μB/f.u.

=====

b | Ac2PbSe: optimized geometry, PBE-GGA.

a = 4.640 Å, b = 4.640 Å, c = 8.472 Å
α = 74.11°, β = 74.11°, γ = 60.00°
Fractional coordinates of all 4 atoms:
Pb 0.667 0.667 0.998
Ac 0.083 0.083 0.752
Se 0.497 0.497 0.508
Ac 0.253 0.253 0.242

Summary:
space group: R3m, No. 160
N(E_F): 2.558 states/eV/cell
total moment: 0.0 μB/f.u.

=====

Q: Which of them is the most stable? A: b.

=====

a | AcPbSe: optimized geometry, PBE-GGA.

a = 4.240 Å, b = 4.240 Å, c = 6.685 Å
α = 108.49°, β = 108.49°, γ = 90.00°
Fractional coordinates of all 3 atoms:
Se 0.273 0.273 0.546
Pb 0.022 0.022 0.043
Ac 0.706 0.706 0.411

Summary:
space group: I4mm, No. 107
N(E_F): 1.036 states/eV/cell
total moment: 0.0 μB/f.u.

=====

b | AcPbSe: optimized geometry, PBE-GGA.

a = 4.415 Å, b = 4.405 Å, c = 11.804 Å
α = 68.07°, β = 68.04°, γ = 90.00°
Fractional coordinates of all 6 atoms:
Ac 0.560 0.060 0.190
Se 0.124 0.624 0.126
Pb 0.772 0.772 0.478
Se 0.876 0.376 0.874
Ac 0.440 0.940 0.810
Pb 0.228 0.228 0.522

Summary:
space group: Pmmn, No. 59
N(E_F): 3.093 states/eV/cell
total moment: 0.0 μB/f.u.

=====

Q: Which of them is the most stable? A: b.

=====

a | Ac4SiPb2: optimized geometry, PBE-GGA.

a = 5.785 Å, b = 5.785 Å, c = 9.750 Å
α = 107.26°, β = 107.26°, γ = 90.00°
Fractional coordinates of all 7 atoms:
Ac 0.177 0.177 0.354
Ac 0.823 0.823 0.646
Si 0.000 0.000 0.000
Pb 0.631 0.631 0.262
Pb 0.369 0.369 0.738
Ac 0.000 0.500 0.000
Ac 0.500 0.000 0.000

Summary:
space group: I4/mmm, No. 139
N(E_F): 3.600 states/eV/cell
total moment: 0.0 μB/f.u.

=====

b | Ac4SiPb2: optimized geometry, PBE-GGA.

a = 4.999 Å, b = 9.590 Å, c = 8.696 Å
α = 136.82°, β = 106.71°, γ = 90.00°
Fractional coordinates of all 7 atoms:
Pb 0.360 0.380 0.720
Ac 0.327 0.723 0.654
Ac 0.080 0.796 0.161
Pb 0.640 0.620 0.280
Si 0.000 0.000 0.000
Ac 0.673 0.277 0.346
Ac 0.920 0.204 0.839

Summary:
space group: C2/m, No. 12
N(E_F): 5.885 states/eV/cell
total moment: 0.8 μB/f.u.

=====

Q: Which of them is the most stable? A: b.

=====

a | AcSiPb: optimized geometry, PBE-GGA.

a = 6.436 Å, b = 6.723 Å, c = 9.371 Å
α = 67.57°, β = 90.00°, γ = 90.00°
Fractional coordinates of all 12 atoms:
Pb 0.750 0.829 0.777
Ac 0.750 0.269 0.923
Si 0.750 0.265 0.589
Ac 0.250 0.231 0.577
Si 0.750 0.765 0.089
Pb 0.250 0.171 0.223
Pb 0.250 0.671 0.723
Pb 0.750 0.329 0.277
Si 0.250 0.735 0.411
Ac 0.250 0.731 0.077
Ac 0.750 0.769 0.423
Si 0.250 0.235 0.911

Summary:
space group: P2_1/m, No. 11
N(E_F): 5.390 states/eV/cell
total moment: 0.0 μB/f.u.

=====

b | AcSiPb: optimized geometry, PBE-GGA.

a = 3.986 Å, b = 4.481 Å, c = 10.164 Å
α = 102.73°, β = 90.00°, γ = 90.00°
Fractional coordinates of all 6 atoms:
Si 0.750 0.535 0.069
Si 0.250 0.465 0.931
Pb 0.750 0.714 0.428
Pb 0.250 0.286 0.572
Ac 0.250 0.093 0.186
Ac 0.750 0.907 0.814

Summary:
space group: Cmcm, No. 63
N(E_F): 4.208 states/eV/cell
total moment: 0.0 μB/f.u.

=====

Q: Which of them is the most stable? A: b.